# 1
Compound: Pm4CSeI2
Source: Alexandria
Functional: PBE
Structure: optimized geometry

```
Pm4CSeI2
1.0
7.295 0.000 0.000
0.000 4.011 0.000
-2.289 0.000 7.595
Pm C Se I
4 1 1 2
direct
0.194 0.000 0.178 Pm
0.225 0.500 0.815 Pm
0.775 0.500 0.185 Pm
0.806 0.000 0.822 Pm
0.000 0.500 0.000 C
0.500 0.000 0.000 Se
0.000 0.000 0.500 I
0.500 0.500 0.500 I
```

DOS at the Fermi energy ... 2.11 states/eV per cell



# 2
Compound: Tb4CuSe2S
Source: Alexandria
Functional: PBE
Structure: optimized geometry

```
Tb4CuSe2S
1.0
7.066 0.000 0.000
0.000 3.961 0.000
-2.276 0.000 6.708
Tb Cu Se S
4 1 2 1
direct
0.243 0.000 0.235 Tb
0.256 0.500 0.763 Tb
0.744 0.500 0.237 Tb
0.757 0.000 0.765 Tb
0.000 0.500 0.000 Cu
0.000 0.000 0.500 Se
0.500 0.500 0.500 Se
0.500 0.000 0.000 S
```

DOS at the Fermi energy ... 5.10 states/eV per cell



Total energy, record by record: -5.406; -5.658 eV/atom
Total moment, record by record: 0.0; 0.0 μB/cell